Record 1
DFT (PBE) results for an optimized crystal structure of Rb12Ga3H5.

Summary:
N(E_F)   0.56 states/eV/atom
Raw total energy   -1.7863 eV per atom
Crystal system   cubic

POSCAR file:
```
Rb12Ga3H5
1.0
-9.6113 9.6113 9.6113
9.6113 -9.6113 9.6113
9.6113 9.6113 -9.6113
Rb Ga H
48 12 20
Direct
0.0219 0.2028 0.1202
0.0219 0.3192 0.9017
0.0825 0.7028 0.6808
0.0825 0.8798 0.4017
0.0983 0.6202 0.4175
0.0983 0.9781 0.6808
0.1202 0.0219 0.2028
0.1202 0.5983 0.9175
0.1808 0.2028 0.5825
0.1808 0.4781 0.5983
0.2028 0.1202 0.0219
0.2028 0.5825 0.1808
0.2972 0.3192 0.9175
0.2972 0.4781 0.3798
0.3192 0.9017 0.0219
0.3192 0.9175 0.2972
0.3798 0.2972 0.4781
0.3798 0.5825 0.9017
0.4017 0.0825 0.8798
0.4017 0.8192 0.5219
0.4175 0.0983 0.6202
0.4175 0.8192 0.7972
0.4781 0.3798 0.2972
0.4781 0.5983 0.1808
0.5219 0.4017 0.8192
0.5219 0.6202 0.7028
0.5825 0.1808 0.2028
0.5825 0.9017 0.3798
0.5983 0.1808 0.4781
0.5983 0.9175 0.1202
0.6202 0.4175 0.0983
0.6202 0.7028 0.5219
0.6808 0.0825 0.7028
0.6808 0.0983 0.9781
0.7028 0.5219 0.6202
0.7028 0.6808 0.0825
0.7972 0.4175 0.8192
0.7972 0.8798 0.9781
0.8192 0.5219 0.4017
0.8192 0.7972 0.4175
0.8798 0.4017 0.0825
0.8798 0.9781 0.7972
0.9017 0.0219 0.3192
0.9017 0.3798 0.5825
0.9175 0.1202 0.5983
0.9175 0.2972 0.3192
0.9781 0.6808 0.0983
0.9781 0.7972 0.8798
0.1250 0.2500 0.3750
0.1250 0.3750 0.7500
0.2500 0.3750 0.1250
0.2500 0.8750 0.6250
0.3750 0.1250 0.2500
0.3750 0.7500 0.1250
0.6250 0.2500 0.8750
0.6250 0.8750 0.7500
0.7500 0.1250 0.3750
0.7500 0.6250 0.8750
0.8750 0.6250 0.2500
0.8750 0.7500 0.6250
0.0000 0.0000 0.0000
0.0000 0.0000 0.5000
0.0000 0.5000 0.0000
0.0000 0.5000 0.5000
0.1250 0.7500 0.8750
0.1250 0.8750 0.2500
0.2500 0.1250 0.8750
0.2500 0.6250 0.3750
0.3750 0.2500 0.6250
0.3750 0.6250 0.7500
0.5000 0.0000 0.0000
0.5000 0.0000 0.5000
0.5000 0.5000 0.0000
0.5000 0.5000 0.5000
0.6250 0.3750 0.2500
0.6250 0.7500 0.3750
0.7500 0.3750 0.6250
0.7500 0.8750 0.1250
0.8750 0.1250 0.7500
0.8750 0.2500 0.1250
```

---

Record 2
DFT (PBE) results for an optimized crystal structure of Tb8Er3In2.

Summary:
N(E_F)   1.55 states/eV/atom
Offset from the most stable computed form   0 meV per atom
Raw total energy   -4.3768 eV per atom
Crystal system   triclinic
Formation energy from the elements   -0.05 eV per atom

POSCAR file:
```
Tb8Er3In2
1.0
6.2768 0.0000 0.0000
-2.2682 6.7587 0.0000
-0.0766 -0.1126 9.5235
Tb Er In
8 3 2
Direct
0.0374 0.3753 0.3537
0.0503 0.8695 0.3183
0.3892 0.9665 0.8234
0.4380 0.4752 0.8064
0.5620 0.5248 0.1936
0.6108 0.0335 0.1766
0.9497 0.1305 0.6817
0.9626 0.6247 0.6463
0.0000 0.5000 0.0000
0.4892 0.2430 0.5031
0.5108 0.7570 0.4969
0.1829 0.1596 0.0621
0.8171 0.8404 0.9379
```

---

Record 3
DFT (PBE) results for an optimized crystal structure of P2WS.

Summary:
N(E_F)   0.47 states/eV/atom
Formation energy from raw total energies   486 meV per atom
Raw total energy   -6.4894 eV per atom
Crystal system   tetragonal

POSCAR file:
```
P2WS
1.0
5.5172 0.0000 0.0000
0.0000 5.5172 0.0000
0.0000 0.0000 10.6899
P W S
8 4 4
Direct
0.2332 0.2500 0.1250
0.2500 0.7332 0.3750
0.2500 0.7668 0.8750
0.2668 0.2500 0.6250
0.7332 0.7500 0.6250
0.7500 0.2332 0.8750
0.7500 0.2668 0.3750
0.7668 0.7500 0.1250
0.0000 0.0000 0.0000
0.0000 0.5000 0.2500
0.5000 0.0000 0.7500
0.5000 0.5000 0.5000
0.0000 0.0000 0.5000
0.0000 0.5000 0.7500
0.5000 0.0000 0.2500
0.5000 0.5000 0.0000
```

---

Record 4
DFT (PBE) results for an optimized crystal structure of Cr2NiTe.

Summary:
N(E_F)   1.25 states/eV/atom
Formation energy from raw total energies   348 meV per atom
Raw total energy   -6.6949 eV per atom
Crystal system   tetragonal

POSCAR file:
```
Cr2NiTe
1.0
3.7593 0.0000 0.0000
0.0000 3.7593 0.0000
0.0000 0.0000 7.8326
Cr Ni Te
4 2 2
Direct
0.0000 0.5000 0.2500
0.0000 0.5000 0.7500
0.5000 0.0000 0.2500
0.5000 0.0000 0.7500
0.0000 0.0000 0.0000
0.5000 0.5000 0.5000
0.0000 0.0000 0.5000
0.5000 0.5000 0.0000
```

---

Record 5
DFT (PBE) results for an optimized crystal structure of Eu2NpGe.

Summary:
N(E_F)   3.76 states/eV/atom
Raw total energy   -9.2892 eV per atom
Crystal system   cubic
Formation energy from the elements   0.24 eV per atom

POSCAR file:
```
Eu2NpGe
1.0
7.6187 0.0000 0.0000
0.0000 7.6187 0.0000
0.0000 0.0000 7.6187
Eu Np Ge
8 4 4
Direct
0.2500 0.2500 0.2500
0.2500 0.2500 0.7500
0.2500 0.7500 0.2500
0.2500 0.7500 0.7500
0.7500 0.2500 0.2500
0.7500 0.2500 0.7500
0.7500 0.7500 0.2500
0.7500 0.7500 0.7500
0.0000 0.0000 0.0000
0.0000 0.5000 0.5000
0.5000 0.0000 0.5000
0.5000 0.5000 0.0000
0.0000 0.0000 0.5000
0.0000 0.5000 0.0000
0.5000 0.0000 0.0000
0.5000 0.5000 0.5000
```

---

Record 6
DFT (PBE) results for an optimized crystal structure of RbBaSr2In.

Summary:
N(E_F)   0.95 states/eV/atom
Raw total energy   -1.8436 eV per atom
Crystal system   tetragonal
Formation energy from the elements   -0.05 eV per atom

POSCAR file:
```
RbBaSr2In
1.0
6.6570 0.0000 0.0000
0.0000 6.6570 0.0000
0.0000 0.0000 6.8629
Rb Ba Sr In
1 1 2 1
Direct
0.0000 0.0000 0.0000
0.5000 0.5000 0.0000
0.0000 0.5000 0.5000
0.5000 0.0000 0.5000
0.5000 0.5000 0.5000
```

---

Record 7
DFT (PBE) results for an optimized crystal structure of CaMoCl2.

Summary:
N(E_F)   0.50 states/eV/atom
Formation energy from raw total energies   -408 meV per atom
Offset from the most stable computed form   145 meV per atom
Raw total energy   -4.5397 eV per atom
Crystal system   monoclinic

POSCAR file:
```
CaMoCl2
1.0
3.1768 0.0000 0.0000
0.0000 4.1083 0.0000
-0.0504 0.0000 5.9690
Ca Mo Cl
1 1 2
Direct
0.0000 0.0000 0.0000
0.5000 0.0000 0.5000
0.4931 0.5000 0.2572
0.5069 0.5000 0.7428
```

---

Record 8
DFT (PBE) results for an optimized crystal structure of TmZn2Pd3.

Summary:
N(E_F)   0.34 states/eV/atom
Raw total energy   -4.4862 eV per atom
Crystal system   hexagonal
Formation energy from the elements   -0.72 eV per atom

POSCAR file:
```
TmZn2Pd3
1.0
4.3951 0.0000 0.0000
-2.1975 3.8062 0.0000
0.0000 0.0000 12.1747
Tm Zn Pd
2 4 6
Direct
0.0000 0.0000 0.2500
0.0000 0.0000 0.7500
0.3333 0.6667 0.0823
0.3333 0.6667 0.4177
0.6667 0.3333 0.5823
0.6667 0.3333 0.9177
0.0000 0.0000 0.0000
0.0000 0.0000 0.5000
0.3333 0.6667 0.6307
0.3333 0.6667 0.8693
0.6667 0.3333 0.1307
0.6667 0.3333 0.3693
```

---

Record 9
DFT (PBE) results for an optimized crystal structure of Pm3Y8Er3.

Summary:
N(E_F)   1.69 states/eV/atom
Offset from the most stable computed form   17 meV per atom
Raw total energy   -5.5571 eV per atom
Crystal system   orthorhombic
Formation energy from the elements   0.13 eV per atom

POSCAR file:
```
Pm3Y8Er3
1.0
-2.8293 5.3700 7.5699
2.8293 -5.3700 7.5699
2.8293 5.3700 -7.5699
Pm Y Er
3 8 3
Direct
0.0000 0.0000 0.0000
0.3048 0.0000 0.3048
0.6952 0.0000 0.6952
0.0564 0.3963 0.6601
0.0634 0.2221 0.8413
0.2637 0.6037 0.6601
0.3809 0.2221 0.1587
0.6191 0.7779 0.8413
0.7363 0.3963 0.3399
0.9366 0.7779 0.1587
0.9436 0.6037 0.3399
0.3151 0.8151 0.5000
0.5000 0.5000 0.0000
0.6849 0.1849 0.5000
```

---

Record 10
DFT (PBE) results for an optimized crystal structure of LaPuTl.

Summary:
N(E_F)   1.77 states/eV/atom
Offset from the most stable computed form   190 meV per atom
Raw total energy   -7.0676 eV per atom
Crystal system   monoclinic
Formation energy from the elements   0.14 eV per atom

POSCAR file:
```
LaPuTl
1.0
12.0058 0.0000 0.0000
0.0000 3.5874 0.0000
-3.6755 0.0000 8.1453
La Pu Tl
4 4 4
Direct
0.1152 0.0000 0.2537
0.3848 0.5000 0.7463
0.6152 0.5000 0.2537
0.8848 0.0000 0.7463
0.1858 0.5000 0.9816
0.3142 0.0000 0.0184
0.6858 0.0000 0.9816
0.8142 0.5000 0.0184
0.1256 0.0000 0.6421
0.3744 0.5000 0.3579
0.6256 0.5000 0.6421
0.8744 0.0000 0.3579
```

---

Record 11
DFT (PBE) results for an optimized crystal structure of K2ReCl4F2.

Summary:
Formation energy from raw total energies   -1663 meV per atom
Raw total energy   -4.5269 eV per atom
Crystal system   monoclinic

POSCAR file:
```
K2ReCl4F2
1.0
5.6515 -3.5472 0.0000
5.6515 3.5472 0.0000
-2.6652 0.0000 5.7810
K Re Cl F
2 1 4 2
Direct
0.2077 0.2077 0.2721
0.7923 0.7923 0.7279
0.5000 0.5000 0.0000
0.1936 0.6715 0.1869
0.3285 0.8064 0.8131
0.6715 0.1936 0.1869
0.8064 0.3285 0.8131
0.3261 0.3261 0.7309
0.6739 0.6739 0.2691
```

---

> Look up the raw total energy of the fifth one.

-9.2892 eV per atom

---

> Look up the raw total energy of the fifth one.

-9.2892 eV per atom

---

> Which of these has the lowest raw total energy?

Eu2NpGe

---

> What is the formula in the sixth record?

RbBaSr2In